# 1
Here is BeSbOs after structural relaxation from Alexandria via LeMat-Bulk. Energies are from PBE.

Cell and atoms, written as CIF:
```
data_BeSbOs
_cell_length_a 3.210
_cell_length_b 4.925
_cell_length_c 12.545
_cell_angle_alpha 90.00
_cell_angle_beta 90.00
_cell_angle_gamma 90.00
_symmetry_space_group_name_H-M 'F m m 2'
_symmetry_Int_Tables_number 42
_symmetry_space_group_name_Hall 'F 2 -2'
loop_
_atom_site_label
_atom_site_type_symbol
_atom_site_fract_x
_atom_site_fract_y
_atom_site_fract_z
Be1 Be 0.000 0.000 0.000
Sb1 Sb 0.000 0.000 0.692
Os1 Os 0.000 0.000 0.378
```

- V: 16.529 Å³/atom

=====

# 2
Here is NbMoC2S after structural relaxation from Alexandria via LeMat-Bulk. Energies are from PBE.

Cell and atoms, written as CIF:
```
data_NbMoC2S
_cell_length_a 4.058
_cell_length_b 4.058
_cell_length_c 4.833
_cell_angle_alpha 90.00
_cell_angle_beta 90.00
_cell_angle_gamma 90.00
_symmetry_space_group_name_H-M 'P 4/m m m'
_symmetry_Int_Tables_number 123
_symmetry_space_group_name_Hall '-P 4 2'
loop_
_atom_site_label
_atom_site_type_symbol
_atom_site_fract_x
_atom_site_fract_y
_atom_site_fract_z
Nb1 Nb 0.000 0.000 0.000
Mo1 Mo 0.500 0.500 0.500
C1 C 0.000 0.500 0.000
S1 S 0.000 0.000 0.500
```

- V: 15.915 Å³/atom

=====

Number 1: uncorrected formation energy 717 meV/atom. Number 2: uncorrected formation energy 1735 meV/atom.